Density functional theory data (PBE) for a relaxed SmNp2Pt9 crystal.

## Properties
**Uncorrected energy**: -7.770 eV/atom
**Energy of formation from the pure elements**: -15.9 kcal/mol of atoms

```
12
Lattice="2.7002 1.5590 8.9069 -2.7002 1.5590 8.9069 0.0000 -3.1179 8.9069" Properties=species:S:1:pos:R:3 pbc="T T T"
Sm 0.0000 0.0000 0.0000
Np 0.0000 0.0000 3.8082
Np 0.0000 0.0000 22.9125
Pt -1.3651 -0.7882 11.1887
Pt 0.0000 0.0000 8.8929
Pt 0.0000 -1.5763 15.5320
Pt -1.3651 0.7882 15.5320
Pt 0.0000 0.0000 13.3604
Pt 1.3651 -0.7881 11.1887
Pt 0.0000 1.5763 11.1887
Pt 0.0000 0.0000 17.8278
Pt 1.3651 0.7882 15.5320
```

Density functional theory data (PBE) for a relaxed SmNpPt4 crystal.

## Properties
**Uncorrected energy**: -7.790 eV/atom
**Energy of formation from the pure elements**: -18.9 kcal/mol of atoms

```
6
Lattice="0.0000 3.8648 3.8648 3.8648 0.0000 3.8648 3.8648 3.8648 0.0000" Properties=species:S:1:pos:R:3 pbc="T T T"
Sm 0.0000 0.0000 0.0000
Np 5.7972 5.7972 5.7972
Pt 2.9005 2.9005 2.9005
Pt 4.8291 4.8291 2.9005
Pt 4.8291 2.9005 4.8291
Pt 2.9005 4.8291 4.8291
```